Record 1
Here is a geometry-optimized K2MgH2F2 structure from Alexandria via LeMat-Bulk. Energies are from PBE.

## Properties
Its density of states at the Fermi level is 0.00 states/eV per atom. For the calculated volume, the calculation gives 15.2 Å³ per atom. Its crystal system is tetragonal. As for the spin magnetization: 0.0 μB per cell. Its symmetry is I4/mmm (139). The energy comes out at -26.1 eV/cell.

Lattice parameters (Å, degrees): 3.975 3.975 7.293 105.81 105.81 90.00
Atoms (fractional coordinates):
1 K 0.352 0.352 0.704
2 K 0.648 0.648 0.296
3 Mg 0.000 0.000 0.000
4 H 0.000 0.500 0.000
5 H 0.500 0.000 0.000
6 F 0.152 0.152 0.303
7 F 0.848 0.848 0.697

***

Record 2
Here is a geometry-optimized PuReP2 structure from Alexandria via LeMat-Bulk. Energies are from PBE.

## Properties
Its density of states at the Fermi level is 1.60 states/eV per atom. For the calculated volume, the calculation gives 17.8 Å³ per atom. Its crystal system is trigonal. As for the spin magnetization: 4.9 μB per cell. The calculation puts the formation energy at -42.1 meV per atom. Its symmetry is R-3m (166). The energy comes out at -37.8 eV/cell.

Lattice parameters (Å, degrees): 3.005 3.005 9.285 80.69 80.69 60.00
Last column: magnetic moment on the atom in μB.
Atoms (fractional coordinates):
1 Re 0.500 0.500 0.500  0.02
2 P 0.104 0.104 0.688  0.01
3 P 0.896 0.896 0.312  0.01
4 Pu 0.000 0.000 0.000  -4.81

***

Record 3
Here is a geometry-optimized Ac2In4PdPt3 structure from Alexandria via LeMat-Bulk. Energies are from PBE.

## Properties
Its density of states at the Fermi level is 0.87 states/eV per atom. For the calculated volume, the calculation gives 24.1 Å³ per atom. Its crystal system is tetragonal. As for the spin magnetization: 0.0 μB per cell. The calculation puts the formation energy at -754.5 meV per atom. Its symmetry is P-4m2 (115). The energy comes out at -50.0 eV/cell.

Lattice parameters (Å, degrees): 4.784 4.784 10.550 90.00 90.00 90.00
Atoms (fractional coordinates):
1 Ac 0.500 0.000 0.260
2 Ac 0.000 0.500 0.740
3 In 0.500 0.500 0.000
4 In 0.000 0.000 0.000
5 In 0.500 0.000 0.618
6 In 0.000 0.500 0.382
7 Pd 0.500 0.500 0.500
8 Pt 0.000 0.000 0.500
9 Pt 0.500 0.000 0.869
10 Pt 0.000 0.500 0.131

***

Record 4
Here is a geometry-optimized Ba2ZrAg structure from Alexandria via LeMat-Bulk. Energies are from PBE.

## Properties
Its density of states at the Fermi level is 2.02 states/eV per atom. For the calculated volume, the calculation gives 32.7 Å³ per atom. Its crystal system is cubic. As for the spin magnetization: 2.2 μB per cell. The calculation puts the formation energy at 556.6 meV per atom. Its symmetry is F-43m (216). The energy comes out at -13.0 eV/cell.

Lattice parameters (Å, degrees): 5.699 5.699 5.699 60.00 60.00 60.00
Last column: magnetic moment on the atom in μB.
Atoms (fractional coordinates):
1 Ag 0.500 0.500 0.500  0.01
2 Ba 0.000 0.000 0.000  0.17
3 Ba 0.250 0.250 0.250  0.08
4 Zr 0.750 0.750 0.750  1.00

***

Record 5
Here is a geometry-optimized Sc2VAgPd structure from Alexandria via LeMat-Bulk. Energies are from PBE.

## Properties
Its density of states at the Fermi level is 1.01 states/eV per atom. For the calculated volume, the calculation gives 21.8 Å³ per atom. Its crystal system is tetragonal. As for the spin magnetization: 0.2 μB per cell. The calculation puts the formation energy at 453.1 meV per atom. Its symmetry is P4/mmm (123). The energy comes out at -27.6 eV/cell.

Lattice parameters (Å, degrees): 4.919 4.511 4.919 90.00 90.00 90.00
Last column: magnetic moment on the atom in μB.
Atoms (fractional coordinates):
1 Sc 0.000 0.000 0.500  0.00
2 Sc 0.500 0.000 0.000  0.01
3 Pd 0.000 0.500 0.000  0.01
4 Ag 0.500 0.500 0.500  0.00
5 V 0.000 0.000 0.000  0.22

***

Record 6
Here is a geometry-optimized Pr3CdNi8 structure from Alexandria via LeMat-Bulk. Energies are from PBE.

## Properties
Its density of states at the Fermi level is 0.69 states/eV per atom. For the calculated volume, the calculation gives 16.0 Å³ per atom. Its crystal system is trigonal. As for the spin magnetization: 0.0 μB per cell. The calculation puts the formation energy at -276.0 meV per atom. Its symmetry is R3m (160). The energy comes out at -64.8 eV/cell.

Lattice parameters (Å, degrees): 5.119 5.119 8.942 73.37 73.37 60.00
Atoms (fractional coordinates):
1 Pr 0.377 0.377 0.869
2 Pr 0.994 0.994 0.018
3 Pr 0.505 0.505 0.485
4 Cd 0.872 0.872 0.383
5 Ni 0.940 0.435 0.190
6 Ni 0.441 0.937 0.684
7 Ni 0.435 0.435 0.190
8 Ni 0.937 0.937 0.684
9 Ni 0.188 0.188 0.436
10 Ni 0.688 0.688 0.937
11 Ni 0.435 0.940 0.190
12 Ni 0.937 0.441 0.684